Model i:
First-principles (GGA-PBE) data for a geometry-optimized DyHo7Er12 structure, as listed in the Alexandria database.

Cell: 10.816 10.816 10.816 Å, 115.95 115.95 115.95°
Sites, in units of the cell vectors:
Dy: 0.000 0.000 0.000
Ho: 0.071 0.210 0.376
Ho: 0.210 0.376 0.071
Ho: 0.376 0.071 0.210
Ho: 0.500 0.500 0.500
Ho: 0.624 0.929 0.790
Ho: 0.790 0.624 0.929
Ho: 0.929 0.790 0.624
Er: 0.071 0.497 0.285
Er: 0.204 0.266 0.746
Er: 0.254 0.796 0.734
Er: 0.266 0.746 0.204
Er: 0.285 0.071 0.497
Er: 0.497 0.285 0.071
Er: 0.503 0.715 0.929
Er: 0.715 0.929 0.503
Er: 0.734 0.254 0.796
Er: 0.746 0.204 0.266
Er: 0.796 0.734 0.254
Er: 0.929 0.503 0.715

Results
Space group   R-3 (148)
DOS(E_F)   28.56 states/eV per cell


Model ii:
First-principles (GGA-PBE) data for a geometry-optimized DyHo7Er12 structure, as listed in the Alexandria database.

Cell: 8.577 8.577 8.577 Å, 95.09 95.09 95.09°
Sites, in units of the cell vectors:
Dy: 0.000 0.000 0.000
Ho: 0.021 0.084 0.353
Ho: 0.084 0.353 0.021
Ho: 0.353 0.021 0.084
Ho: 0.500 0.500 0.500
Ho: 0.647 0.979 0.916
Ho: 0.916 0.647 0.979
Ho: 0.979 0.916 0.647
Er: 0.148 0.417 0.480
Er: 0.186 0.750 0.314
Er: 0.250 0.686 0.814
Er: 0.314 0.186 0.750
Er: 0.417 0.480 0.148
Er: 0.480 0.148 0.417
Er: 0.520 0.852 0.583
Er: 0.583 0.520 0.852
Er: 0.686 0.814 0.250
Er: 0.750 0.314 0.186
Er: 0.814 0.250 0.686
Er: 0.852 0.583 0.520

Results
Space group   R-3 (148)
DOS(E_F)   17.65 states/eV per cell


Stability summary: most stable model ii, least stable model i.


Model i:
First-principles (GGA-PBE) data for a geometry-optimized Dy2Ho3Er8 structure, as listed in the Alexandria database.

Cell: 11.556 11.556 6.693 Å, 101.85 101.85 27.34°
Sites, in units of the cell vectors:
Dy: 0.230 0.230 0.310
Dy: 0.770 0.770 0.690
Ho: 0.000 0.000 0.500
Ho: 0.485 0.485 0.214
Ho: 0.515 0.515 0.786
Er: 0.076 0.076 0.096
Er: 0.176 0.176 0.764
Er: 0.333 0.333 0.975
Er: 0.380 0.380 0.516
Er: 0.620 0.620 0.484
Er: 0.667 0.667 0.025
Er: 0.824 0.824 0.236
Er: 0.924 0.924 0.904

Results
Space group   C2/m (12)
DOS(E_F)   21.98 states/eV per cell


Model ii:
First-principles (GGA-PBE) data for a geometry-optimized Dy2Ho3Er8 structure, as listed in the Alexandria database.

Cell: 10.748 10.748 5.525 Å, 90.02 90.02 40.90°
Sites, in units of the cell vectors:
Dy: 0.241 0.241 0.499
Dy: 0.759 0.759 0.501
Ho: 0.000 0.000 0.500
Ho: 0.284 0.716 0.000
Ho: 0.716 0.284 0.000
Er: 0.133 0.133 0.000
Er: 0.179 0.604 0.500
Er: 0.334 0.334 0.999
Er: 0.396 0.821 0.500
Er: 0.604 0.179 0.500
Er: 0.666 0.666 0.001
Er: 0.821 0.396 0.500
Er: 0.867 0.867 0.000

Results
Space group   C2/m (12)
DOS(E_F)   22.56 states/eV per cell


Stability summary: most stable model i, least stable model ii.


Model i:
First-principles (GGA-PBE) data for a geometry-optimized DyHo5Er4 structure, as listed in the Alexandria database.

Cell: 7.777 7.777 7.777 Å, 99.27 99.27 132.67°
Sites, in units of the cell vectors:
Dy: 0.000 0.000 0.000
Ho: 0.038 0.126 0.623
Ho: 0.126 0.504 0.088
Ho: 0.416 0.038 0.912
Ho: 0.504 0.416 0.377
Ho: 0.541 0.541 0.000
Er: 0.117 0.819 0.395
Er: 0.424 0.722 0.605
Er: 0.722 0.117 0.298
Er: 0.819 0.424 0.702

Results
Space group   I4 (79)
DOS(E_F)   13.88 states/eV per cell


Model ii:
First-principles (GGA-PBE) data for a geometry-optimized DyHo5Er4 structure, as listed in the Alexandria database.

Cell: 3.520 9.290 9.891 Å, 74.50 89.93 79.10°
Sites, in units of the cell vectors:
Dy: 0.000 0.000 0.000
Ho: 0.000 0.000 0.500
Ho: 0.200 0.600 0.100
Ho: 0.200 0.601 0.600
Ho: 0.800 0.399 0.400
Ho: 0.800 0.400 0.900
Er: 0.400 0.200 0.200
Er: 0.400 0.200 0.700
Er: 0.600 0.800 0.300
Er: 0.600 0.800 0.800

Results
Space group   P-1 (2)
DOS(E_F)   13.40 states/eV per cell


Stability summary: most stable model ii, least stable model i.


Model i:
First-principles (GGA-PBE) data for a geometry-optimized Dy7HoEr12 structure, as listed in the Alexandria database.

Cell: 8.587 8.587 8.587 Å, 95.08 95.08 95.08°
Sites, in units of the cell vectors:
Dy: 0.000 0.000 0.000
Dy: 0.147 0.415 0.478
Dy: 0.415 0.478 0.147
Dy: 0.478 0.147 0.415
Dy: 0.522 0.853 0.585
Dy: 0.585 0.522 0.853
Dy: 0.853 0.585 0.522
Ho: 0.500 0.500 0.500
Er: 0.019 0.083 0.352
Er: 0.083 0.352 0.019
Er: 0.187 0.750 0.314
Er: 0.250 0.686 0.813
Er: 0.314 0.187 0.750
Er: 0.352 0.019 0.083
Er: 0.648 0.981 0.917
Er: 0.686 0.813 0.250
Er: 0.750 0.314 0.187
Er: 0.813 0.250 0.686
Er: 0.917 0.648 0.981
Er: 0.981 0.917 0.648

Results
Space group   R-3 (148)
DOS(E_F)   17.45 states/eV per cell


Model ii:
First-principles (GGA-PBE) data for a geometry-optimized Dy7HoEr12 structure, as listed in the Alexandria database.

Cell: 10.827 10.827 10.827 Å, 115.94 115.94 115.94°
Sites, in units of the cell vectors:
Dy: 0.000 0.000 0.000
Dy: 0.125 0.290 0.429
Dy: 0.290 0.429 0.125
Dy: 0.429 0.125 0.290
Dy: 0.571 0.875 0.710
Dy: 0.710 0.571 0.875
Dy: 0.875 0.710 0.571
Ho: 0.500 0.500 0.500
Er: 0.003 0.430 0.215
Er: 0.215 0.003 0.430
Er: 0.234 0.296 0.754
Er: 0.246 0.766 0.704
Er: 0.296 0.754 0.234
Er: 0.430 0.215 0.003
Er: 0.570 0.785 0.997
Er: 0.704 0.246 0.766
Er: 0.754 0.234 0.296
Er: 0.766 0.704 0.246
Er: 0.785 0.997 0.570
Er: 0.997 0.570 0.785

Results
Space group   R-3 (148)
DOS(E_F)   28.01 states/eV per cell


Stability summary: most stable model i, least stable model ii.


Model i:
First-principles (GGA-PBE) data for a geometry-optimized Dy4Ho7Er structure, as listed in the Alexandria database.

Cell: 6.645 6.645 12.577 Å, 115.20 115.20 51.97°
Sites, in units of the cell vectors:
Dy: 0.061 0.061 0.322
Dy: 0.363 0.363 0.224
Dy: 0.637 0.637 0.776
Dy: 0.939 0.939 0.678
Ho: 0.000 0.000 0.000
Ho: 0.212 0.212 0.924
Ho: 0.245 0.245 0.682
Ho: 0.366 0.366 0.499
Ho: 0.634 0.634 0.501
Ho: 0.755 0.755 0.318
Ho: 0.788 0.788 0.076
Er: 0.500 0.500 0.000

Results
Space group   C2/m (12)
DOS(E_F)   20.30 states/eV per cell


Model ii:
First-principles (GGA-PBE) data for a geometry-optimized Dy4Ho7Er structure, as listed in the Alexandria database.

Cell: 6.442 6.729 8.976 Å, 85.84 76.81 82.02°
Sites, in units of the cell vectors:
Dy: 0.140 0.308 0.284
Dy: 0.340 0.883 0.691
Dy: 0.660 0.117 0.309
Dy: 0.860 0.692 0.716
Ho: 0.014 0.252 0.948
Ho: 0.185 0.799 0.359
Ho: 0.309 0.393 0.613
Ho: 0.500 0.000 0.000
Ho: 0.691 0.607 0.387
Ho: 0.815 0.201 0.641
Ho: 0.986 0.748 0.052
Er: 0.500 0.500 0.000

Results
Space group   P-1 (2)
DOS(E_F)   19.60 states/eV per cell


Stability summary: most stable model ii, least stable model i.


Model i:
First-principles (GGA-PBE) data for a geometry-optimized Dy2Ho5Er3 structure, as listed in the Alexandria database.

Cell: 10.955 10.955 10.955 Å, 109.38 80.13 147.09°
Sites, in units of the cell vectors:
Dy: 0.157 0.099 0.256
Dy: 0.343 0.599 0.942
Dy: 0.657 0.401 0.058
Dy: 0.843 0.901 0.744
Ho: 0.157 0.599 0.756
Ho: 0.250 0.000 0.750
Ho: 0.250 0.500 0.250
Ho: 0.250 0.750 0.500
Ho: 0.343 0.099 0.442
Ho: 0.657 0.901 0.558
Ho: 0.750 0.000 0.250
Ho: 0.750 0.250 0.500
Ho: 0.750 0.500 0.750
Ho: 0.843 0.401 0.244
Er: 0.249 0.340 0.590
Er: 0.250 0.250 0.000
Er: 0.251 0.840 0.091
Er: 0.749 0.160 0.909
Er: 0.750 0.750 0.000
Er: 0.751 0.660 0.410

Results
Space group   Ibam (72)
DOS(E_F)   30.98 states/eV per cell


Model ii:
First-principles (GGA-PBE) data for a geometry-optimized Dy2Ho5Er3 structure, as listed in the Alexandria database.

Cell: 9.399 9.399 9.372 Å, 108.28 108.28 111.78°
Sites, in units of the cell vectors:
Dy: 0.015 0.267 0.046
Dy: 0.267 0.015 0.546
Dy: 0.733 0.985 0.454
Dy: 0.985 0.733 0.954
Ho: 0.146 0.388 0.783
Ho: 0.230 0.770 0.750
Ho: 0.275 0.725 0.250
Ho: 0.388 0.146 0.283
Ho: 0.472 0.528 0.250
Ho: 0.528 0.472 0.750
Ho: 0.612 0.854 0.717
Ho: 0.725 0.275 0.750
Ho: 0.770 0.230 0.250
Ho: 0.854 0.612 0.217
Er: 0.023 0.977 0.750
Er: 0.222 0.464 0.452
Er: 0.464 0.222 0.952
Er: 0.536 0.778 0.048
Er: 0.778 0.536 0.548
Er: 0.977 0.023 0.250

Results
Space group   C2/c (15)
DOS(E_F)   38.02 states/eV per cell


Stability summary: most stable model ii, least stable model i.


Model i:
First-principles (GGA-PBE) data for a geometry-optimized Dy12Ho5Er2 structure, as listed in the Alexandria database.

Cell: 6.447 8.797 11.347 Å, 109.56 92.85 98.02°
Sites, in units of the cell vectors:
Dy: 0.026 0.200 0.137
Dy: 0.166 0.872 0.576
Dy: 0.205 0.170 0.858
Dy: 0.276 0.597 0.041
Dy: 0.445 0.657 0.768
Dy: 0.469 0.261 0.630
Dy: 0.531 0.739 0.370
Dy: 0.555 0.343 0.232
Dy: 0.724 0.403 0.959
Dy: 0.795 0.830 0.142
Dy: 0.834 0.128 0.424
Dy: 0.974 0.800 0.863
Ho: 0.012 0.390 0.718
Ho: 0.305 0.011 0.301
Ho: 0.500 0.000 0.000
Ho: 0.695 0.989 0.699
Ho: 0.988 0.610 0.282
Er: 0.236 0.444 0.460
Er: 0.764 0.556 0.540

Results
Space group   P-1 (2)
DOS(E_F)   26.99 states/eV per cell


Model ii:
First-principles (GGA-PBE) data for a geometry-optimized Dy12Ho5Er2 structure, as listed in the Alexandria database.

Cell: 9.042 9.042 8.478 Å, 91.10 91.10 60.63°
Sites, in units of the cell vectors:
Dy: 0.058 0.058 0.336
Dy: 0.066 0.679 0.334
Dy: 0.165 0.528 0.758
Dy: 0.321 0.934 0.666
Dy: 0.411 0.411 0.116
Dy: 0.472 0.835 0.242
Dy: 0.528 0.165 0.758
Dy: 0.589 0.589 0.884
Dy: 0.679 0.066 0.334
Dy: 0.835 0.472 0.242
Dy: 0.934 0.321 0.666
Dy: 0.942 0.942 0.664
Ho: 0.199 0.199 0.014
Ho: 0.268 0.268 0.428
Ho: 0.500 0.500 0.500
Ho: 0.732 0.732 0.572
Ho: 0.801 0.801 0.986
Er: 0.176 0.824 0.000
Er: 0.824 0.176 0.000

Results
Space group   C2/m (12)
DOS(E_F)   28.48 states/eV per cell


Stability summary: most stable model i, least stable model ii.


Model i:
First-principles (GGA-PBE) data for a geometry-optimized DyHo7Er2 structure, as listed in the Alexandria database.

Cell: 6.076 6.087 9.296 Å, 102.61 108.96 99.68°
Sites, in units of the cell vectors:
Dy: 0.000 0.000 0.000
Ho: 0.000 0.500 0.500
Ho: 0.200 0.000 0.400
Ho: 0.200 0.500 0.900
Ho: 0.400 0.000 0.800
Ho: 0.600 0.000 0.200
Ho: 0.800 0.000 0.600
Ho: 0.800 0.500 0.100
Er: 0.400 0.500 0.300
Er: 0.600 0.500 0.700

Results
Space group   P-1 (2)
DOS(E_F)   14.04 states/eV per cell


Model ii:
First-principles (GGA-PBE) data for a geometry-optimized DyHo7Er2 structure, as listed in the Alexandria database.

Cell: 9.429 9.429 5.245 Å, 90.00 90.00 125.40°
Sites, in units of the cell vectors:
Dy: 0.000 0.000 0.000
Ho: 0.068 0.289 0.500
Ho: 0.200 0.800 0.000
Ho: 0.289 0.068 0.500
Ho: 0.500 0.500 0.500
Ho: 0.711 0.932 0.500
Ho: 0.800 0.200 0.000
Ho: 0.932 0.711 0.500
Er: 0.298 0.702 0.500
Er: 0.702 0.298 0.500

Results
Space group   Cmmm (65)
DOS(E_F)   13.11 states/eV per cell


Stability summary: most stable model i, least stable model ii.